Density functional theory data (PBE-GGA) for an optimized crystal structure of ZrCo3H6.

Its energy is -155.0 eV per cell.

It has space group R3 (No. 146, hexagonal axes), with a = 4.3827 Å, b = 4.3827 Å, c = 12.5709 Å, α = 90.00°, β = 90.00° and γ = 120.00°. The asymmetric unit holds Zr at (0.0000, 0.0000, 0.0000), Co at (0.0000, 0.0000, 0.2176), Co at (0.0000, 0.0000, 0.5643), Co at (0.0000, 0.0000, 0.7935), H at (0.0105, 0.5118, 0.9788) and H at (0.0514, 0.3429, 0.1399).